{
  "formula": "Pm3ErIr3",
  "functional": "PBE-GGA",
  "state": "optimized geometry",
  "lattice_angstrom": [[5.374, -4.830, 0.000], [5.374, 4.830, 0.000], [-1.293, 0.000, 6.653]],
  "species": ["Pm", "Pm", "Pm", "Pm", "Pm", "Pm", "Er", "Er", "Ir", "Ir", "Ir", "Ir", "Ir", "Ir"],
  "fractional_positions": [[0.191, 0.809, 0.000], [0.276, 0.724, 0.500], [0.298, 0.298, 0.992], [0.702, 0.702, 0.008], [0.724, 0.276, 0.500], [0.809, 0.191, 0.000], [0.215, 0.215, 0.451], [0.785, 0.785, 0.549], [0.002, 0.503, 0.256], [0.053, 0.053, 0.712], [0.497, 0.998, 0.744], [0.503, 0.002, 0.256], [0.947, 0.947, 0.288], [0.998, 0.497, 0.744]],
  "de_polymorph_ev_per_atom": 0.0538,
  "e_form_ev_per_atom": -0.5935
}

{
  "formula": "PmEr2Ir",
  "functional": "PBE-GGA",
  "state": "optimized geometry",
  "lattice_angstrom": [[3.460, 0.000, 0.000], [0.000, 3.460, 0.000], [0.000, 0.000, 8.837]],
  "species": ["Pm", "Er", "Er", "Ir"],
  "fractional_positions": [[0.000, 0.000, 0.000], [0.500, 0.500, 0.317], [0.500, 0.500, 0.683], [0.000, 0.000, 0.500]],
  "de_polymorph_ev_per_atom": 0.1149,
  "e_form_ev_per_atom": -0.4534
}

{
  "formula": "PmErIr",
  "functional": "PBE-GGA",
  "state": "optimized geometry",
  "lattice_angstrom": [[6.857, 0.000, 0.000], [0.000, 6.857, 0.000], [0.000, 0.000, 6.857]],
  "species": ["Pm", "Pm", "Pm", "Pm", "Er", "Er", "Er", "Er", "Ir", "Ir", "Ir", "Ir"],
  "fractional_positions": [[0.000, 0.000, 0.000], [0.000, 0.500, 0.500], [0.500, 0.000, 0.500], [0.500, 0.500, 0.000], [0.000, 0.000, 0.500], [0.000, 0.500, 0.000], [0.500, 0.000, 0.000], [0.500, 0.500, 0.500], [0.250, 0.250, 0.250], [0.250, 0.750, 0.750], [0.750, 0.250, 0.750], [0.750, 0.750, 0.250]],
  "de_polymorph_ev_per_atom": 0.0000,
  "e_form_ev_per_atom": -0.6353
}